Entry 1:
Here is crystalline LaNd2Ga2Ag2 at its relaxed geometry from Alexandria. Energies are from PBE-GGA.

Computed properties:
ΔE_f   -0.394 eV/atom

```
data_LaNd2Ga2Ag2
_symmetry_space_group_name_H-M 'R -3 m'
_symmetry_Int_Tables_number 166
_symmetry_space_group_name_Hall '-R 3 2"'
_cell_length_a 4.7161
_cell_length_b 4.7161
_cell_length_c 27.9431
_cell_angle_alpha 90.00
_cell_angle_beta 90.00
_cell_angle_gamma 120.00
loop_
_atom_site_label
_atom_site_type_symbol
_atom_site_fract_x
_atom_site_fract_y
_atom_site_fract_z
La1 La 0.0000 0.0000 0.0000
Nd1 Nd 0.0000 0.0000 0.1264
Ga1 Ga 0.0000 0.0000 0.2578
Ag1 Ag 0.0000 0.0000 0.4018
```

---

Entry 2:
Here is crystalline La2GaNiAg at its relaxed geometry from Alexandria. Energies are from PBE-GGA.

Computed properties:
ΔE_f   -0.295 eV/atom

```
data_La2GaNiAg
_symmetry_space_group_name_H-M 'P 4/m m m'
_symmetry_Int_Tables_number 123
_symmetry_space_group_name_Hall '-P 4 2'
_cell_length_a 5.445
_cell_length_b 5.445
_cell_length_c 4.509
_cell_angle_alpha 90.00
_cell_angle_beta 90.00
_cell_angle_gamma 90.00
loop_
_atom_site_label
_atom_site_type_symbol
_atom_site_fract_x
_atom_site_fract_y
_atom_site_fract_z
La1 La 0.000 0.500 0.000
Ga1 Ga 0.000 0.000 0.500
Ni1 Ni 0.000 0.000 0.000
Ag1 Ag 0.500 0.500 0.500
```

---

Entry 3:
Here is crystalline La2Ga4AgPd3 at its relaxed geometry from Alexandria. Energies are from PBE-GGA.

Computed properties:
ΔE_f   -0.721 eV/atom

```
data_La2Ga4AgPd3
_symmetry_space_group_name_H-M 'P -4 m 2'
_symmetry_Int_Tables_number 115
_cell_length_a 4.365
_cell_length_b 4.365
_cell_length_c 10.671
_cell_angle_alpha 90.00
_cell_angle_beta 90.00
_cell_angle_gamma 90.00
loop_
_symmetry_equiv_pos_as_xyz
'x,y,z'
'y,-x,-z'
'-x,-y,z'
'-y,x,-z'
'-x,y,z'
'-y,-x,-z'
'x,-y,z'
'y,x,-z'
loop_
_atom_site_label
_atom_site_type_symbol
_atom_site_fract_x
_atom_site_fract_y
_atom_site_fract_z
La1 La 0.000 0.500 0.239
Ga1 Ga 0.000 0.000 0.000
Ga2 Ga 0.000 0.500 0.635
Ga3 Ga 0.500 0.500 0.000
Ag1 Ag 0.000 0.000 0.500
Pd1 Pd 0.000 0.500 0.871
Pd2 Pd 0.500 0.500 0.500
```

---

Entry 4:
Here is crystalline LaGaAgPd at its relaxed geometry from Alexandria. Energies are from PBE-GGA.

Computed properties:
ΔE_f   -0.441 eV/atom

```
data_LaGaAgPd
_symmetry_space_group_name_H-M 'F -4 3 m'
_symmetry_Int_Tables_number 216
_symmetry_space_group_name_Hall 'F -4 2 3'
_cell_length_a 6.989
_cell_length_b 6.989
_cell_length_c 6.989
_cell_angle_alpha 90.00
_cell_angle_beta 90.00
_cell_angle_gamma 90.00
loop_
_atom_site_label
_atom_site_type_symbol
_atom_site_fract_x
_atom_site_fract_y
_atom_site_fract_z
La1 La 0.000 0.000 0.000
Ga1 Ga 0.000 0.000 0.500
Ag1 Ag 0.250 0.250 0.250
Pd1 Pd 0.250 0.250 0.750
```

---

Entry 5:
Here is crystalline LaGa5AgPd2 at its relaxed geometry from Alexandria. Energies are from PBE-GGA.

Computed properties:
ΔE_f   -0.286 eV/atom

```
data_LaGa5AgPd2
_symmetry_space_group_name_H-M 'P 4/m m m'
_symmetry_Int_Tables_number 123
_symmetry_space_group_name_Hall '-P 4 2'
_cell_length_a 4.444
_cell_length_b 4.444
_cell_length_c 10.015
_cell_angle_alpha 90.00
_cell_angle_beta 90.00
_cell_angle_gamma 90.00
loop_
_atom_site_label
_atom_site_type_symbol
_atom_site_fract_x
_atom_site_fract_y
_atom_site_fract_z
La1 La 0.000 0.000 0.000
Ga1 Ga 0.000 0.500 0.347
Ga2 Ga 0.500 0.500 0.000
Ag1 Ag 0.000 0.000 0.500
Pd1 Pd 0.500 0.500 0.233
```

---

Entry 6:
Here is crystalline LaPm2Ga2Ag2 at its relaxed geometry from Alexandria. Energies are from PBE-GGA.

Computed properties:
ΔE_f   -0.397 eV/atom

```
data_LaPm2Ga2Ag2
_symmetry_space_group_name_H-M 'R -3 m'
_symmetry_Int_Tables_number 166
_symmetry_space_group_name_Hall '-R 3 2"'
_cell_length_a 4.7089
_cell_length_b 4.7089
_cell_length_c 27.7649
_cell_angle_alpha 90.00
_cell_angle_beta 90.00
_cell_angle_gamma 120.00
loop_
_atom_site_label
_atom_site_type_symbol
_atom_site_fract_x
_atom_site_fract_y
_atom_site_fract_z
La1 La 0.0000 0.0000 0.0000
Pm1 Pm 0.0000 0.0000 0.1266
Ga1 Ga 0.0000 0.0000 0.2566
Ag1 Ag 0.0000 0.0000 0.4030
```

---

Entry 7:
Here is crystalline La2PrGa2Ag2 at its relaxed geometry from Alexandria. Energies are from PBE-GGA.

Computed properties:
ΔE_f   -0.398 eV/atom

```
data_La2PrGa2Ag2
_symmetry_space_group_name_H-M 'R -3 m'
_symmetry_Int_Tables_number 166
_symmetry_space_group_name_Hall '-R 3 2"'
_cell_length_a 4.7060
_cell_length_b 4.7060
_cell_length_c 27.7785
_cell_angle_alpha 90.00
_cell_angle_beta 90.00
_cell_angle_gamma 120.00
loop_
_atom_site_label
_atom_site_type_symbol
_atom_site_fract_x
_atom_site_fract_y
_atom_site_fract_z
La1 La 0.0000 0.0000 0.1292
Pr1 Pr 0.0000 0.0000 0.0000
Ga1 Ga 0.0000 0.0000 0.2617
Ag1 Ag 0.0000 0.0000 0.3987
```

---

Entry 8:
Here is crystalline LaPrGaAg at its relaxed geometry from Alexandria. Energies are from PBE-GGA.

Computed properties:
ΔE_f   -0.402 eV/atom

```
data_LaPrGaAg
_symmetry_space_group_name_H-M 'F -4 3 m'
_symmetry_Int_Tables_number 216
_symmetry_space_group_name_Hall 'F -4 2 3'
_cell_length_a 7.574
_cell_length_b 7.574
_cell_length_c 7.574
_cell_angle_alpha 90.00
_cell_angle_beta 90.00
_cell_angle_gamma 90.00
loop_
_atom_site_label
_atom_site_type_symbol
_atom_site_fract_x
_atom_site_fract_y
_atom_site_fract_z
La1 La 0.000 0.000 0.000
Pr1 Pr 0.000 0.000 0.500
Ga1 Ga 0.250 0.250 0.750
Ag1 Ag 0.250 0.250 0.250
```

---

Entry 9:
Here is crystalline LaPr2Ga2Ag2 at its relaxed geometry from Alexandria. Energies are from PBE-GGA.

Computed properties:
ΔE_f   -0.392 eV/atom

```
data_LaPr2Ga2Ag2
_symmetry_space_group_name_H-M 'R -3 m'
_symmetry_Int_Tables_number 166
_symmetry_space_group_name_Hall '-R 3 2"'
_cell_length_a 4.7228
_cell_length_b 4.7228
_cell_length_c 28.1489
_cell_angle_alpha 90.00
_cell_angle_beta 90.00
_cell_angle_gamma 120.00
loop_
_atom_site_label
_atom_site_type_symbol
_atom_site_fract_x
_atom_site_fract_y
_atom_site_fract_z
La1 La 0.0000 0.0000 0.0000
Pr1 Pr 0.0000 0.0000 0.1262
Ga1 Ga 0.0000 0.0000 0.2589
Ag1 Ag 0.0000 0.0000 0.4005
```

---

Entry 10:
Here is crystalline LaGa4AgPt2 at its relaxed geometry from Alexandria. Energies are from PBE-GGA.

Computed properties:
ΔE_f   -0.574 eV/atom

```
data_LaGa4AgPt2
_symmetry_space_group_name_H-M 'R -3 m'
_symmetry_Int_Tables_number 166
_symmetry_space_group_name_Hall '-R 3 2"'
_cell_length_a 4.3368
_cell_length_b 4.3368
_cell_length_c 27.8294
_cell_angle_alpha 90.00
_cell_angle_beta 90.00
_cell_angle_gamma 120.00
loop_
_atom_site_label
_atom_site_type_symbol
_atom_site_fract_x
_atom_site_fract_y
_atom_site_fract_z
La1 La 0.0000 0.0000 0.0000
Ga1 Ga 0.0000 0.0000 0.1243
Ga2 Ga 0.0000 0.0000 0.3996
Ag1 Ag 0.0000 0.0000 0.5000
Pt1 Pt 0.0000 0.0000 0.2404
```

---

Entry 11:
Here is crystalline La2Ga3AgPt4 at its relaxed geometry from Alexandria. Energies are from PBE-GGA.

Computed properties:
ΔE_f   -0.884 eV/atom

```
data_La2Ga3AgPt4
_symmetry_space_group_name_H-M 'P -4 m 2'
_symmetry_Int_Tables_number 115
_cell_length_a 4.154
_cell_length_b 4.154
_cell_length_c 11.665
_cell_angle_alpha 90.00
_cell_angle_beta 90.00
_cell_angle_gamma 90.00
loop_
_symmetry_equiv_pos_as_xyz
'x,y,z'
'y,-x,-z'
'-x,-y,z'
'-y,x,-z'
'-x,y,z'
'-y,-x,-z'
'x,-y,z'
'y,x,-z'
loop_
_atom_site_label
_atom_site_type_symbol
_atom_site_fract_x
_atom_site_fract_y
_atom_site_fract_z
La1 La 0.000 0.500 0.247
Ga1 Ga 0.000 0.000 0.000
Ga2 Ga 0.000 0.500 0.626
Ag1 Ag 0.500 0.500 0.000
Pt1 Pt 0.000 0.000 0.500
Pt2 Pt 0.000 0.500 0.842
Pt3 Pt 0.500 0.500 0.500
```

---

Entry 12:
Here is crystalline La2GaAgS5 at its relaxed geometry from Alexandria. Energies are from PBE-GGA.

Computed properties:
Total DFT energy (no corrections)   -5.44 eV per atom

```
data_La2GaAgS5
_symmetry_space_group_name_H-M 'C m c 21'
_symmetry_Int_Tables_number 36
_cell_length_a 3.960
_cell_length_b 17.728
_cell_length_c 11.443
_cell_angle_alpha 90.00
_cell_angle_beta 90.00
_cell_angle_gamma 90.00
loop_
_symmetry_equiv_pos_as_xyz
'x,y,z'
'-x,-y,z+1/2'
'-x,y,z'
'x,-y,z+1/2'
'x+1/2,y+1/2,z'
'-x+1/2,-y+1/2,z+1/2'
'-x+1/2,y+1/2,z'
'x+1/2,-y+1/2,z+1/2'
loop_
_atom_site_label
_atom_site_type_symbol
_atom_site_fract_x
_atom_site_fract_y
_atom_site_fract_z
La1 La 0.000 0.122 0.000
La2 La 0.000 0.127 0.616
Ga1 Ga 0.000 0.434 0.768
Ag1 Ag 0.000 0.228 0.341
S1 S 0.000 0.040 0.374
S2 S 0.000 0.291 0.994
S3 S 0.000 0.319 0.676
S4 S 0.000 0.369 0.313
S5 S 0.000 0.498 0.592
```

---

Entry 13:
Here is crystalline La2SmGa2Ag2 at its relaxed geometry from Alexandria. Energies are from PBE-GGA.

Computed properties:
ΔE_f   -0.400 eV/atom

```
data_La2SmGa2Ag2
_symmetry_space_group_name_H-M 'R -3 m'
_symmetry_Int_Tables_number 166
_symmetry_space_group_name_Hall '-R 3 2"'
_cell_length_a 4.6772
_cell_length_b 4.6772
_cell_length_c 27.4423
_cell_angle_alpha 90.00
_cell_angle_beta 90.00
_cell_angle_gamma 120.00
loop_
_atom_site_label
_atom_site_type_symbol
_atom_site_fract_x
_atom_site_fract_y
_atom_site_fract_z
La1 La 0.0000 0.0000 0.1293
Sm1 Sm 0.0000 0.0000 0.0000
Ga1 Ga 0.0000 0.0000 0.2640
Ag1 Ag 0.0000 0.0000 0.3957
```